Here is a geometry-optimized TeSeI3 structure from the Alexandria database. Energies are from PBE.

Properties
Raw formation energy = -0.070 eV per atom
Space group = P2/c (13)
E = -46.51 eV/cell
Total magnetic moment = 0.0 μB per formula unit

Cell: 8.108 8.382 16.369 Å, 90.00 88.64 90.00°
Fractional coordinates of all 20 atoms:
I 0.244 0.474 0.273
I 0.887 0.254 0.985
I 0.756 0.474 0.227
I 0.113 0.254 0.515
I 0.389 0.269 0.053
I 0.113 0.746 0.015
I 0.389 0.731 0.553
I 0.887 0.746 0.485
I 0.611 0.731 0.947
I 0.756 0.526 0.727
I 0.244 0.526 0.773
I 0.611 0.269 0.447
Se 0.964 0.091 0.183
Se 0.036 0.091 0.317
Se 0.964 0.909 0.683
Se 0.036 0.909 0.817
Te 0.087 0.634 0.621
Te 0.913 0.366 0.379
Te 0.913 0.634 0.879
Te 0.087 0.366 0.121